No. 1
Computed, not measured: crystalline CaY2O2 at its relaxed geometry at the GGA-PBEsol level of DFT.

Properties
Energy relative to the elements, uncorrected in eV per atom: -2.34

abc: 3.8832 3.8832 16.8513
angles: 90.00 90.00 90.00
Last column: nearest neighbours and their distance in Å.
Space group I4/mmm (No. 139)
Asymmetric unit:
Ca (0.0000, 0.0000, 0.0000) [2 per cell]  4 Ca 3.88, 8 Y 4.18
Y (0.0000, 0.0000, 0.3127) [4 per cell]  4 O 2.21
O (0.0000, 0.5000, 0.2500) [4 per cell]  4 Y 2.21

---

No. 2
Computed, not measured: crystalline Cd2HgPb at its relaxed geometry at the GGA-PBEsol level of DFT.

Properties
ΔE_f in meV/atom: 55.0
Distance to the lowest polymorph of the same formula in eV/atom: 0.023

abc: 3.3748 5.4491 10.4759
angles: 90.00 90.00 90.00
Last column: nearest neighbours and their distance in Å.
Space group Immm (No. 71)
Asymmetric unit:
Cd (0.0000, 0.0000, 0.2370) [4 per cell]  2 Hg 3.00, 4 Cd 3.22, 2 Pb 3.23
Hg (0.0000, 0.5000, 0.5000) [2 per cell]  4 Cd 3.00, 4 Pb 3.20
Pb (0.0000, 0.5000, 0.0000) [2 per cell]  4 Hg 3.20, 4 Cd 3.23, 2 Pb 3.37

---

No. 3
Computed, not measured: crystalline La2AsPt at its relaxed geometry at the GGA-PBEsol level of DFT.

Properties
ΔE_f in meV/atom: -1193.9

abc: 4.1988 4.1988 21.3867
angles: 90.00 90.00 120.00
Last column: nearest neighbours and their distance in Å.
Space group R-3m (No. 166, hexagonal axes)
Asymmetric unit:
La (0.0000, 0.0000, 0.2479) [6 per cell]  3 Pt 2.98, 3 As 3.04
As (0.0000, 0.0000, 0.0000) [3 per cell]  6 La 3.04
Pt (0.0000, 0.0000, 0.5000) [3 per cell]  6 La 2.98

---

We obtain M_tot values of 0.00 0.00 0.00 μB/f.u. for the records listed above, in that order.
We obtain DOS at the Fermi energy values of 0.7380 0.4054 0.6371 states/eV per atom for the records listed above, in that order.
We obtain DFT total energy values of -7.600 -1.685 -6.885 eV per atom for the records listed above, in that order.